1.
TmTiP2Rh5 | GGA-PBE | relaxed

Unit cell a=4.3449 b=4.3449 c=9.3306 alpha=90.00 beta=90.00 gamma=90.00
Space group P4/mmm (No. 123)
Symmetry-distinct sites (fractional):
Tm (0.0000, 0.0000, 0.0000) (multiplicity 1)
Ti (0.5000, 0.5000, 0.5000) (multiplicity 1)
P (0.5000, 0.5000, 0.2566) (multiplicity 2)
Rh (0.0000, 0.5000, 0.2127) (multiplicity 4)
Rh (0.5000, 0.5000, 0.0000) (multiplicity 1)

=====

2.
YTiP2Rh5 | GGA-PBE | relaxed

Unit cell a=4.0577 b=4.0577 c=9.8526 alpha=90.00 beta=90.00 gamma=90.00
Space group P4/mmm (No. 123)
Symmetry-distinct sites (fractional):
Y (0.0000, 0.0000, 0.0000) (multiplicity 1)
Ti (0.5000, 0.5000, 0.5000) (multiplicity 1)
P (0.5000, 0.5000, 0.2261) (multiplicity 2)
Rh (0.0000, 0.5000, 0.3358) (multiplicity 4)
Rh (0.5000, 0.5000, 0.0000) (multiplicity 1)

=====

3.
Y2TiP3Rh4 | GGA-PBE | relaxed

Unit cell a=3.9602 b=3.9602 c=10.5441 alpha=90.00 beta=90.00 gamma=90.00
Space group P-4m2 (No. 115)
Symmetry-distinct sites (fractional):
Y (0.0000, 0.5000, 0.2309) (multiplicity 2)
Ti (0.0000, 0.0000, 0.5000) (multiplicity 1)
P (0.0000, 0.5000, 0.8635) (multiplicity 2)
P (0.5000, 0.5000, 0.5000) (multiplicity 1)
Rh (0.0000, 0.0000, 0.0000) (multiplicity 1)
Rh (0.0000, 0.5000, 0.6419) (multiplicity 2)
Rh (0.5000, 0.5000, 0.0000) (multiplicity 1)

=====

4.
Tl3PRh | GGA-PBE | relaxed

Unit cell a=5.2197 b=5.2197 c=5.2197 alpha=90.00 beta=90.00 gamma=90.00
Space group Pm-3m (No. 221)
Symmetry-distinct sites (fractional):
Tl (0.0000, 0.0000, 0.5000) (multiplicity 3)
P (0.0000, 0.0000, 0.0000) (multiplicity 1)
Rh (0.5000, 0.5000, 0.5000) (multiplicity 1)

Properties
polymorph energy (0 for the lowest one)	0.483	eV per atom

=====

5.
TlP3Rh | GGA-PBE | relaxed

Unit cell a=4.7085 b=4.7085 c=4.7085 alpha=90.00 beta=90.00 gamma=90.00
Space group Pm-3m (No. 221)
Symmetry-distinct sites (fractional):
Tl (0.0000, 0.0000, 0.0000) (multiplicity 1)
P (0.0000, 0.5000, 0.5000) (multiplicity 3)
Rh (0.5000, 0.5000, 0.5000) (multiplicity 1)

Properties
polymorph energy (0 for the lowest one)	0.000	eV per atom

=====

6.
TlP2Rh2 | GGA-PBE | relaxed

Unit cell a=3.9599 b=3.9599 c=11.6370 alpha=90.00 beta=90.00 gamma=90.00
Space group I4/mmm (No. 139)
Symmetry-distinct sites (fractional):
Tl (0.0000, 0.0000, 0.0000) (multiplicity 2)
P (0.0000, 0.5000, 0.2500) (multiplicity 4)
Rh (0.0000, 0.0000, 0.3570) (multiplicity 4)

Properties
polymorph energy (0 for the lowest one)	0.293	eV per atom

=====

| no. | calculated density (Mg/m³) | formation enthalpy at 0 K (eV per formula unit) |
| --- | --- | --- |
| 1 | 7.478 | -3.233 |
| 2 | 7.301 | -4.622 |
| 3 | 7.333 | -11.011 |
| 4 | 8.723 | 4.523 |
| 5 | 6.366 | 2.737 |
| 6 | 8.593 | -0.949 |